(1)
# La4ScIn PBE-GGA optimized geometry
# Crystal system: cubic
# Energy of formation in eV/atom: 0.214
data_La4ScIn
_cell_length_a 9.2719
_cell_length_b 9.2719
_cell_length_c 9.2719
_cell_angle_alpha 90.00
_cell_angle_beta 90.00
_cell_angle_gamma 90.00
_space_group_name_H-M_alt 'F -4 3 m'
_space_group_IT_number 216
_space_group_name_Hall 'F -4 2 3'
loop_
_atom_site_label
_atom_site_fract_x
_atom_site_fract_y
_atom_site_fract_z
La1 0.1250 0.1250 0.1250
Sc1 0.2500 0.2500 0.7500
In1 0.0000 0.0000 0.5000


(2)
# Ag7PdAu4 PBE-GGA optimized geometry
# Energy relative to the lowest polymorph listed for this composition in eV/f.u.: 6.15
# Crystal system: cubic
# Energy of formation in eV/atom: 0.692
data_Ag7PdAu4
_cell_length_a 11.6285
_cell_length_b 11.6285
_cell_length_c 11.6285
_cell_angle_alpha 90.00
_cell_angle_beta 90.00
_cell_angle_gamma 90.00
_space_group_name_H-M_alt 'F -4 3 m'
_space_group_IT_number 216
_space_group_name_Hall 'F -4 2 3'
loop_
_atom_site_label
_atom_site_fract_x
_atom_site_fract_y
_atom_site_fract_z
Ag1 0.0000 0.0000 0.0000
Ag2 0.0314 0.2500 0.7500
Pd1 0.2500 0.2500 0.7500
Au1 0.1594 0.1594 0.1594


(3)
# LiCaHg2F8 PBE-GGA optimized geometry
# E_form (uncorrected) in meV/atom: -2058
# Crystal system: tetragonal
data_LiCaHg2F8
_cell_length_a 7.0940
_cell_length_b 7.0940
_cell_length_c 7.6939
_cell_angle_alpha 90.00
_cell_angle_beta 90.00
_cell_angle_gamma 90.00
_space_group_name_H-M_alt 'I -4 m 2'
_space_group_IT_number 119
_space_group_name_Hall 'I -4 -2'
loop_
_atom_site_label
_atom_site_fract_x
_atom_site_fract_y
_atom_site_fract_z
Li1 0.0000 0.0000 0.0000
Ca1 0.0000 0.5000 0.7500
Hg1 0.0000 0.0000 0.5000
Hg2 0.0000 0.5000 0.2500
F1 0.0000 0.1830 0.7231
F2 0.0000 0.3113 0.0267